Record 1
Computed, not measured: crystalline Cs3As5Br12 at its relaxed geometry at the GGA-PBE level of DFT.

```
data_Cs3As5Br12
_chemical_formula_sum 'Cs24 As40 Br96'
_cell_length_a 18.767
_cell_length_b 18.767
_cell_length_c 18.767
_cell_angle_alpha 90.00
_cell_angle_beta 90.00
_cell_angle_gamma 90.00
_symmetry_space_group_name_H-M 'I a -3 d'
_symmetry_Int_Tables_number 230
_symmetry_space_group_name_Hall '-I 4bd 2c 3'
loop_
_atom_site_label
_atom_site_fract_x
_atom_site_fract_y
_atom_site_fract_z
Cs1 0.000 0.250 0.125
As1 0.000 0.000 0.000
As2 0.000 0.250 0.375
Br1 0.033 0.141 0.958
```

## Properties
As for the raw formation energy: -525 meV per atom.

Record 2
Computed, not measured: crystalline Cs2As2Br7 at its relaxed geometry at the GGA-PBE level of DFT.

```
data_Cs2As2Br7
_chemical_formula_sum 'Cs4 As4 Br14'
_cell_length_a 10.633
_cell_length_b 17.511
_cell_length_c 5.165
_cell_angle_alpha 90.00
_cell_angle_beta 100.74
_cell_angle_gamma 90.00
_symmetry_space_group_name_H-M 'C 1 2/m 1'
_symmetry_Int_Tables_number 12
loop_
_symmetry_equiv_pos_as_xyz
'x,y,z'
'-x,-y,-z'
'-x,y,-z'
'x,-y,z'
'x+1/2,y+1/2,z'
'-x+1/2,-y+1/2,-z'
'-x+1/2,y+1/2,-z'
'x+1/2,-y+1/2,z'
loop_
_atom_site_label
_atom_site_fract_x
_atom_site_fract_y
_atom_site_fract_z
Cs1 0.000 0.212 0.000
As1 0.230 0.500 0.366
Br1 0.000 0.500 0.500
Br2 0.143 0.000 0.200
Br3 0.244 0.349 0.341
```

## Properties
As for the raw formation energy: -847 meV per atom.

Record 3
Computed, not measured: crystalline Cs3AsBr7 at its relaxed geometry at the GGA-PBE level of DFT.

```
data_Cs3AsBr7
_chemical_formula_sum 'Cs6 As2 Br14'
_cell_length_a 10.787
_cell_length_b 10.787
_cell_length_c 7.671
_cell_angle_alpha 90.00
_cell_angle_beta 90.00
_cell_angle_gamma 90.00
_symmetry_space_group_name_H-M 'P 4/m b m'
_symmetry_Int_Tables_number 127
_symmetry_space_group_name_Hall '-P 4 2ab'
loop_
_atom_site_label
_atom_site_fract_x
_atom_site_fract_y
_atom_site_fract_z
Cs1 0.000 0.000 0.000
Cs2 0.175 0.325 0.500
As1 0.000 0.500 0.000
Br1 0.000 0.000 0.500
Br2 0.119 0.619 0.243
Br3 0.170 0.330 0.000
```

## Properties
As for the raw formation energy: -1116 meV per atom.

Record 4
Computed, not measured: crystalline Cs3As2Br8 at its relaxed geometry at the GGA-PBE level of DFT.

```
data_Cs3As2Br8
_chemical_formula_sum 'Cs9 As6 Br24'
_cell_length_a 7.8036
_cell_length_b 7.8036
_cell_length_c 31.8312
_cell_angle_alpha 90.00
_cell_angle_beta 90.00
_cell_angle_gamma 120.00
_symmetry_space_group_name_H-M 'R -3 m'
_symmetry_Int_Tables_number 166
_symmetry_space_group_name_Hall '-R 3 2"'
loop_
_atom_site_label
_atom_site_fract_x
_atom_site_fract_y
_atom_site_fract_z
Cs1 0.0000 0.0000 0.0000
Cs2 0.0000 0.0000 0.2069
As1 0.0000 0.0000 0.4017
Br1 0.0000 0.0000 0.3200
Br2 0.0157 0.5078 0.7700
```

## Properties
As for the raw formation energy: -926 meV per atom.

Record 5
Computed, not measured: crystalline CsCuAs2Br at its relaxed geometry at the GGA-PBE level of DFT.

```
data_CsCuAs2Br
_chemical_formula_sum 'Cs1 Cu1 As2 Br1'
_cell_length_a 4.691
_cell_length_b 4.691
_cell_length_c 6.971
_cell_angle_alpha 90.00
_cell_angle_beta 90.00
_cell_angle_gamma 90.00
_symmetry_space_group_name_H-M 'P 4/m m m'
_symmetry_Int_Tables_number 123
_symmetry_space_group_name_Hall '-P 4 2'
loop_
_atom_site_label
_atom_site_fract_x
_atom_site_fract_y
_atom_site_fract_z
Cs1 0.000 0.000 0.000
Cu1 0.500 0.500 0.500
As1 0.000 0.500 0.500
Br1 0.500 0.500 0.000
```

## Properties
As for the raw formation energy: -56 meV per atom.

Record 6
Computed, not measured: crystalline CsCuAsBr2 at its relaxed geometry at the GGA-PBE level of DFT.

```
data_CsCuAsBr2
_chemical_formula_sum 'Cs1 Cu1 As1 Br2'
_cell_length_a 5.660
_cell_length_b 5.660
_cell_length_c 4.716
_cell_angle_alpha 90.00
_cell_angle_beta 90.00
_cell_angle_gamma 90.00
_symmetry_space_group_name_H-M 'P 4/m m m'
_symmetry_Int_Tables_number 123
_symmetry_space_group_name_Hall '-P 4 2'
loop_
_atom_site_label
_atom_site_fract_x
_atom_site_fract_y
_atom_site_fract_z
Cs1 0.000 0.000 0.000
Cu1 0.500 0.500 0.500
As1 0.500 0.500 0.000
Br1 0.000 0.500 0.500
```

## Properties
As for the raw formation energy: -398 meV per atom.

Record 7
Computed, not measured: crystalline CsCuAs2Br8 at its relaxed geometry at the GGA-PBE level of DFT.

```
data_CsCuAs2Br8
_chemical_formula_sum 'Cs2 Cu2 As4 Br16'
_cell_length_a 14.930
_cell_length_b 7.827
_cell_length_c 8.966
_cell_angle_alpha 90.00
_cell_angle_beta 112.57
_cell_angle_gamma 90.00
_symmetry_space_group_name_H-M 'C 1 2/m 1'
_symmetry_Int_Tables_number 12
loop_
_symmetry_equiv_pos_as_xyz
'x,y,z'
'-x,-y,-z'
'-x,y,-z'
'x,-y,z'
'x+1/2,y+1/2,z'
'-x+1/2,-y+1/2,-z'
'-x+1/2,y+1/2,-z'
'x+1/2,-y+1/2,z'
loop_
_atom_site_label
_atom_site_fract_x
_atom_site_fract_y
_atom_site_fract_z
Cs1 0.000 0.000 0.000
Cu1 0.000 0.500 0.500
As1 0.192 0.000 0.689
Br1 0.096 0.280 0.705
Br2 0.129 0.500 0.158
Br3 0.188 0.000 0.419
```

## Properties
As for the raw formation energy: -540 meV per atom.

Record 8
Computed, not measured: crystalline CsCuAs2Br at its relaxed geometry at the GGA-PBE level of DFT.

```
data_CsCuAs2Br
_chemical_formula_sum 'Cs1 Cu1 As2 Br1'
_cell_length_a 6.301
_cell_length_b 6.301
_cell_length_c 6.519
_cell_angle_alpha 90.00
_cell_angle_beta 90.00
_cell_angle_gamma 90.00
_symmetry_space_group_name_H-M 'P 4/m m m'
_symmetry_Int_Tables_number 123
_symmetry_space_group_name_Hall '-P 4 2'
loop_
_atom_site_label
_atom_site_fract_x
_atom_site_fract_y
_atom_site_fract_z
Cs1 0.000 0.000 0.000
Cu1 0.500 0.500 0.500
As1 0.000 0.500 0.000
Br1 0.000 0.000 0.500
```

## Properties
As for the raw formation energy: 1422 meV per atom.